Cd2GaFe | OQMD via LeMat-Bulk | PBE-GGA | optimized geometry; E_tot = -2.96 eV/atom
1.0
0.000 3.276 3.276
3.276 0.000 3.276
3.276 3.276 0.000
Cd Ga Fe
2 1 1
Direct
0.000 0.000 0.000 Cd
0.250 0.250 0.250 Cd
0.750 0.750 0.750 Ga
0.500 0.500 0.500 Fe



HfCdGaFe | OQMD via LeMat-Bulk | PBE-GGA | optimized geometry; excess energy over the best structure of this formula in the dataset = 0 meV per atom
1.0
0.000 3.232 3.232
3.232 0.000 3.232
3.232 3.232 0.000
Hf Cd Ga Fe
1 1 1 1
Direct
0.000 0.000 0.000 Hf
0.250 0.250 0.250 Cd
0.500 0.500 0.500 Ga
0.750 0.750 0.750 Fe



HfCdGaFe | OQMD via LeMat-Bulk | PBE-GGA | optimized geometry; excess energy over the best structure of this formula in the dataset = 7 meV per atom
1.0
0.000 3.246 3.246
3.246 0.000 3.246
3.246 3.246 0.000
Hf Cd Ga Fe
1 1 1 1
Direct
0.000 0.000 0.000 Hf
0.750 0.750 0.750 Cd
0.250 0.250 0.250 Ga
0.500 0.500 0.500 Fe



LiCdGaFe | OQMD via LeMat-Bulk | PBE-GGA | optimized geometry; excess energy over the best structure of this formula in the dataset = 87 meV per atom
1.0
0.000 3.126 3.126
3.126 0.000 3.126
3.126 3.126 0.000
Li Cd Ga Fe
1 1 1 1
Direct
0.000 0.000 0.000 Li
0.250 0.250 0.250 Cd
0.500 0.500 0.500 Ga
0.750 0.750 0.750 Fe



LiCdGaFe | OQMD via LeMat-Bulk | PBE-GGA | optimized geometry; excess energy over the best structure of this formula in the dataset = 0 meV per atom
1.0
0.000 3.118 3.118
3.118 0.000 3.118
3.118 3.118 0.000
Li Cd Ga Fe
1 1 1 1
Direct
0.000 0.000 0.000 Li
0.750 0.750 0.750 Cd
0.250 0.250 0.250 Ga
0.500 0.500 0.500 Fe



MgCdGaFe | OQMD via LeMat-Bulk | PBE-GGA | optimized geometry; excess energy over the best structure of this formula in the dataset = 0 meV per atom
1.0
0.000 3.220 3.220
3.220 0.000 3.220
3.220 3.220 0.000
Mg Cd Ga Fe
1 1 1 1
Direct
0.000 0.000 0.000 Mg
0.750 0.750 0.750 Cd
0.250 0.250 0.250 Ga
0.500 0.500 0.500 Fe



CdGaFeOs | OQMD via LeMat-Bulk | PBE-GGA | optimized geometry; excess energy over the best structure of this formula in the dataset = 0 meV per atom
1.0
0.000 3.117 3.117
3.117 0.000 3.117
3.117 3.117 0.000
Cd Ga Fe Os
1 1 1 1
Direct
0.000 0.000 0.000 Cd
0.500 0.500 0.500 Ga
0.750 0.750 0.750 Fe
0.250 0.250 0.250 Os



CdGaFePd | OQMD via LeMat-Bulk | PBE-GGA | optimized geometry; excess energy over the best structure of this formula in the dataset = 0 meV per atom
1.0
0.000 3.149 3.149
3.149 0.000 3.149
3.149 3.149 0.000
Cd Ga Fe Pd
1 1 1 1
Direct
0.000 0.000 0.000 Cd
0.500 0.500 0.500 Ga
0.750 0.750 0.750 Fe
0.250 0.250 0.250 Pd



CdGaFePt | OQMD via LeMat-Bulk | PBE-GGA | optimized geometry; excess energy over the best structure of this formula in the dataset = 0 meV per atom
1.0
0.000 3.156 3.156
3.156 0.000 3.156
3.156 3.156 0.000
Cd Ga Fe Pt
1 1 1 1
Direct
0.000 0.000 0.000 Cd
0.500 0.500 0.500 Ga
0.750 0.750 0.750 Fe
0.250 0.250 0.250 Pt



TaCdGaFe | OQMD via LeMat-Bulk | PBE-GGA | optimized geometry; excess energy over the best structure of this formula in the dataset = 0 meV per atom
1.0
0.000 3.153 3.153
3.153 0.000 3.153
3.153 3.153 0.000
Ta Cd Ga Fe
1 1 1 1
Direct
0.000 0.000 0.000 Ta
0.250 0.250 0.250 Cd
0.500 0.500 0.500 Ga
0.750 0.750 0.750 Fe



TaCdGaFe | OQMD via LeMat-Bulk | PBE-GGA | optimized geometry; excess energy over the best structure of this formula in the dataset = 88 meV per atom
1.0
0.000 3.193 3.193
3.193 0.000 3.193
3.193 3.193 0.000
Ta Cd Ga Fe
1 1 1 1
Direct
0.000 0.000 0.000 Ta
0.750 0.750 0.750 Cd
0.250 0.250 0.250 Ga
0.500 0.500 0.500 Fe



CdGaFeW | OQMD via LeMat-Bulk | PBE-GGA | optimized geometry; excess energy over the best structure of this formula in the dataset = 0 meV per atom
1.0
0.000 3.137 3.137
3.137 0.000 3.137
3.137 3.137 0.000
Cd Ga Fe W
1 1 1 1
Direct
0.000 0.000 0.000 Cd
0.250 0.250 0.250 Ga
0.500 0.500 0.500 Fe
0.750 0.750 0.750 W



ZnCdGaFe | OQMD via LeMat-Bulk | PBE-GGA | optimized geometry; excess energy over the best structure of this formula in the dataset = 0 meV per atom
1.0
0.000 3.152 3.152
3.152 0.000 3.152
3.152 3.152 0.000
Zn Cd Ga Fe
1 1 1 1
Direct
0.000 0.000 0.000 Zn
0.250 0.250 0.250 Cd
0.500 0.500 0.500 Ga
0.750 0.750 0.750 Fe



ZnCdGaFe | OQMD via LeMat-Bulk | PBE-GGA | optimized geometry; excess energy over the best structure of this formula in the dataset = 11 meV per atom
1.0
0.000 3.159 3.159
3.159 0.000 3.159
3.159 3.159 0.000
Zn Cd Ga Fe
1 1 1 1
Direct
0.000 0.000 0.000 Zn
0.750 0.750 0.750 Cd
0.250 0.250 0.250 Ga
0.500 0.500 0.500 Fe



GdCdFe | OQMD via LeMat-Bulk | PBE-GGA | optimized geometry; E_form = 0.3125 eV per atom; excess energy over the best structure of this formula in the dataset = 0 meV per atom
1.0
0.000 3.249 3.249
3.249 0.000 3.249
3.249 3.249 0.000
Gd Cd Fe
1 1 1
Direct
0.000 0.000 0.000 Gd
0.500 0.500 0.500 Cd
0.750 0.750 0.750 Fe



CdFeGe2 | OQMD via LeMat-Bulk | PBE-GGA | optimized geometry; E_tot = -4.09 eV/atom
1.0
0.000 3.234 3.234
3.234 0.000 3.234
3.234 3.234 0.000
Cd Fe Ge
1 1 2
Direct
0.000 0.000 0.000 Cd
0.250 0.250 0.250 Fe
0.500 0.500 0.500 Ge
0.750 0.750 0.750 Ge



HfCdFeGe | OQMD via LeMat-Bulk | PBE-GGA | optimized geometry; excess energy over the best structure of this formula in the dataset = 89 meV per atom
1.0
0.000 3.242 3.242
3.242 0.000 3.242
3.242 3.242 0.000
Hf Cd Fe Ge
1 1 1 1
Direct
0.000 0.000 0.000 Hf
0.250 0.250 0.250 Cd
0.750 0.750 0.750 Fe
0.500 0.500 0.500 Ge



HfCdFeGe | OQMD via LeMat-Bulk | PBE-GGA | optimized geometry; excess energy over the best structure of this formula in the dataset = 0 meV per atom
1.0
0.000 3.256 3.256
3.256 0.000 3.256
3.256 3.256 0.000
Hf Cd Fe Ge
1 1 1 1
Direct
0.000 0.000 0.000 Hf
0.750 0.750 0.750 Cd
0.500 0.500 0.500 Fe
0.250 0.250 0.250 Ge



LiCdFeGe | OQMD via LeMat-Bulk | PBE-GGA | optimized geometry; excess energy over the best structure of this formula in the dataset = 0 meV per atom
1.0
0.000 3.119 3.119
3.119 0.000 3.119
3.119 3.119 0.000
Li Cd Fe Ge
1 1 1 1
Direct
0.000 0.000 0.000 Li
0.750 0.750 0.750 Cd
0.500 0.500 0.500 Fe
0.250 0.250 0.250 Ge



LiCdFeGe | OQMD via LeMat-Bulk | PBE-GGA | optimized geometry; excess energy over the best structure of this formula in the dataset = 122 meV per atom
1.0
0.000 3.136 3.136
3.136 0.000 3.136
3.136 3.136 0.000
Li Cd Fe Ge
1 1 1 1
Direct
0.000 0.000 0.000 Li
0.250 0.250 0.250 Cd
0.750 0.750 0.750 Fe
0.500 0.500 0.500 Ge



| no. | volume (A^3/atom) |
| --- | --- |
| 1 | 17.579 |
| 2 | 16.873 |
| 3 | 17.106 |
| 4 | 15.280 |
| 5 | 15.154 |
| 6 | 16.698 |
| 7 | 15.135 |
| 8 | 15.614 |
| 9 | 15.711 |
| 10 | 15.666 |
| 11 | 16.276 |
| 12 | 15.432 |
| 13 | 15.658 |
| 14 | 15.767 |
| 15 | 22.871 |
| 16 | 16.916 |
| 17 | 17.033 |
| 18 | 17.265 |
| 19 | 15.174 |
| 20 | 15.416 |